Density functional theory data (PBE-GGA) for a relaxed Ta2I5 crystal. Values from VASP.

Values from the calculation:
Formation energy without anion corrections: -0.02 eV/atom
Symmetry: P1, No. 1

```
&SYSTEM
  ibrav = 0, nat = 7, ntyp = 2
/
ATOMIC_SPECIES
Ta 180.95 Ta.upf
I 126.90 I.upf
CELL_PARAMETERS angstrom
6.473 0.000 0.000
1.996 6.169 0.000
0.909 3.097 7.652
ATOMIC_POSITIONS angstrom
Ta 0.000 0.000 0.000
Ta 4.478 7.104 7.652
I 3.691 8.185 5.156
I 2.694 5.099 6.820
I 2.773 5.081 2.387
I 6.928 8.183 6.816
I 5.022 2.005 1.679
```

Density functional theory data (PBE-GGA) for a relaxed Zr2TaCo2 crystal. Values from VASP.

Values from the calculation:
ΔH_f (0 K): -0.26 eV/atom
Symmetry: C2/m, No. 12
E above lowest polymorph: 0.0 meV/atom

```
&SYSTEM
  ibrav = 0, nat = 5, ntyp = 3
/
ATOMIC_SPECIES
Zr 91.22 Zr.upf
Ta 180.95 Ta.upf
Co 58.93 Co.upf
CELL_PARAMETERS angstrom
4.584 -2.663 0.000
4.584 2.663 0.000
-1.620 0.000 3.509
ATOMIC_POSITIONS angstrom
Zr 1.524 0.000 0.708
Zr 6.025 0.000 2.801
Ta 4.584 0.000 0.000
Co 3.774 1.450 1.754
Co 3.774 -1.450 1.754
```

Density functional theory data (PBE-GGA) for a relaxed Rb2NaCeBr8 crystal. Values from VASP.

Values from the calculation:
Formation energy without anion corrections: -1.45 eV/atom
Symmetry: P-1, No. 2

```
&SYSTEM
  ibrav = 0, nat = 12, ntyp = 4
/
ATOMIC_SPECIES
Rb 85.47 Rb.upf
Na 22.99 Na.upf
Ce 140.12 Ce.upf
Br 79.90 Br.upf
CELL_PARAMETERS angstrom
7.107 0.000 0.000
0.092 7.588 0.000
0.021 0.017 9.163
ATOMIC_POSITIONS angstrom
Rb 0.106 7.589 2.285
Rb 7.115 0.016 6.877
Na 3.610 3.802 4.581
Ce 3.600 3.794 0.000
Br 1.918 2.955 7.083
Br 1.899 2.955 2.089
Br 2.298 6.264 9.152
Br 2.562 6.666 4.585
Br 4.658 0.939 4.577
Br 4.923 1.340 0.010
Br 5.321 4.650 7.073
Br 5.303 4.650 2.079
```

Density functional theory data (PBE-GGA) for a relaxed ReSiIO2 crystal. Values from VASP.

Values from the calculation:
Formation energy without anion corrections: -0.14 eV/atom
Symmetry: P4/mmm, No. 123
E above lowest polymorph: 0.0 meV/atom

```
&SYSTEM
  ibrav = 0, nat = 5, ntyp = 4
/
ATOMIC_SPECIES
Re 186.21 Re.upf
Si 28.09 Si.upf
I 126.90 I.upf
O 16.00 O.upf
CELL_PARAMETERS angstrom
3.864 0.000 0.000
0.000 3.864 0.000
0.000 0.000 6.260
ATOMIC_POSITIONS angstrom
Re 0.000 0.000 0.000
Si 1.932 1.932 3.130
I 0.000 0.000 3.130
O 0.000 1.932 0.000
O 1.932 0.000 0.000
```

Density functional theory data (PBE-GGA) for a relaxed MgCBr3 crystal. Values from VASP.

Values from the calculation:
Formation energy without anion corrections: 0.79 eV/atom
Symmetry: Pm-3m, No. 221
E above lowest polymorph: 151.7 meV/atom

```
&SYSTEM
  ibrav = 0, nat = 5, ntyp = 3
/
ATOMIC_SPECIES
Mg 24.30 Mg.upf
C 12.01 C.upf
Br 79.90 Br.upf
CELL_PARAMETERS angstrom
5.231 0.000 0.000
0.000 5.231 0.000
0.000 0.000 5.231
ATOMIC_POSITIONS angstrom
Mg 0.000 0.000 0.000
C 2.616 2.616 2.616
Br 0.000 0.000 2.616
Br 0.000 2.616 0.000
Br 2.616 0.000 0.000
```

Please write out number 2 again, unchanged.
Density functional theory data (PBE-GGA) for a relaxed Zr2TaCo2 crystal. Values from VASP.

Values from the calculation:
ΔH_f (0 K): -0.26 eV/atom
Symmetry: C2/m, No. 12
E above lowest polymorph: 0.0 meV/atom

```
&SYSTEM
  ibrav = 0, nat = 5, ntyp = 3
/
ATOMIC_SPECIES
Zr 91.22 Zr.upf
Ta 180.95 Ta.upf
Co 58.93 Co.upf
CELL_PARAMETERS angstrom
4.584 -2.663 0.000
4.584 2.663 0.000
-1.620 0.000 3.509
ATOMIC_POSITIONS angstrom
Zr 1.524 0.000 0.708
Zr 6.025 0.000 2.801
Ta 4.584 0.000 0.000
Co 3.774 1.450 1.754
Co 3.774 -1.450 1.754
```